An optimized crystal structure of CoAgTe2, computed with GGA-PBE.

M_tot   0.49 μB per formula unit
Calculated total energy   -3.58 eV/atom
Density   8.48 g/cm³

CIF file:
```
data_CoAgTe2
_space_group_name_H-M_alt 'C m m m'
_space_group_IT_number 65
_space_group_name_Hall '-C 2 2'
_cell_length_a 6.283
_cell_length_b 7.344
_cell_length_c 3.582
_cell_angle_alpha 90.00
_cell_angle_beta 90.00
_cell_angle_gamma 90.00
loop_
_atom_site_label
_atom_site_type_symbol
_atom_site_fract_x
_atom_site_fract_y
_atom_site_fract_z
Co1 Co 0.000 0.000 0.000
Ag1 Ag 0.000 0.500 0.000
Te1 Te 0.250 0.250 0.500
```